LaSmZr2: optimized geometry, PBE-GGA.

Output
Crystal system: tetragonal
Final energy, eV/cell: -25.98
SG: No. 123
ΔE_f, meV per atom: 192

Lattice parameters (Å, degrees): 4.7471 4.7471 4.9654 90.00 90.00 90.00
Atoms (fractional coordinates):
La1 0.0000 0.0000 0.0000
Sm1 0.5000 0.5000 0.0000
Zr1 0.0000 0.5000 0.5000
Zr2 0.5000 0.0000 0.5000

La2SmZr: optimized geometry, PBE-GGA.

Output
Crystal system: trigonal
Final energy, eV/cell: -21.84
Energy above the lowest structure with this stoichiometry, meV/atom: 189
SG: No. 166
ΔE_f, meV per atom: 322

Lattice parameters (Å, degrees): 12.4878 12.4878 12.4878 15.82 15.82 15.82
Atoms (fractional coordinates):
La1 0.0828 0.0828 0.0828
La2 0.9172 0.9172 0.9172
Sm1 0.5000 0.5000 0.5000
Zr1 0.0000 0.0000 0.0000

La2SmZr: optimized geometry, PBE-GGA.

Output
Crystal system: tetragonal
Final energy, eV/cell: -22.46
Energy above the lowest structure with this stoichiometry, meV/atom: 32
SG: No. 123
ΔE_f, meV per atom: 165

Lattice parameters (Å, degrees): 4.1206 4.1206 7.4808 90.00 90.00 90.00
Atoms (fractional coordinates):
La1 0.0000 0.0000 0.2231
La2 0.0000 0.0000 0.7769
Sm1 0.5000 0.5000 0.5000
Zr1 0.5000 0.5000 0.0000

LaSm2Zr: optimized geometry, PBE-GGA.

Output
Crystal system: tetragonal
Final energy, eV/cell: -22.38
Energy above the lowest structure with this stoichiometry, meV/atom: 28
SG: No. 123
ΔE_f, meV per atom: 133

Lattice parameters (Å, degrees): 4.9686 4.9686 5.0188 90.00 90.00 90.00
Atoms (fractional coordinates):
La1 0.0000 0.0000 0.0000
Sm1 0.0000 0.5000 0.5000
Sm2 0.5000 0.0000 0.5000
Zr1 0.5000 0.5000 0.0000

LaSm2Zr: optimized geometry, PBE-GGA.

Output
Crystal system: trigonal
Final energy, eV/cell: -22.49
Energy above the lowest structure with this stoichiometry, meV/atom: 0
SG: No. 160
ΔE_f, meV per atom: 106

Lattice parameters (Å, degrees): 11.6334 11.6334 11.6334 17.54 17.54 17.54
Atoms (fractional coordinates):
La1 0.0000 0.0000 0.0000
Sm1 0.4224 0.4224 0.4224
Sm2 0.5769 0.5769 0.5769
Zr1 0.8332 0.8332 0.8332

La2SmZr: optimized geometry, PBE-GGA.

Output
Crystal system: tetragonal
Final energy, eV/cell: -22.57
Energy above the lowest structure with this stoichiometry, meV/atom: 6
SG: No. 123
ΔE_f, meV per atom: 139

Lattice parameters (Å, degrees): 5.0543 5.0543 4.9546 90.00 90.00 90.00
Atoms (fractional coordinates):
La1 0.0000 0.5000 0.0000
La2 0.5000 0.0000 0.0000
Sm1 0.0000 0.0000 0.5000
Zr1 0.5000 0.5000 0.5000

no.,density of states at the Fermi level (states/eV/cell)
1,4.17
2,5.87
3,4.76
4,4.63
5,6.21
6,4.51